1.
A relaxed Sr2Zn9Ag6 crystal. Source: Alexandria via LeMat-Bulk, functional PBE.

Unit cell a=5.5091 b=5.5091 c=13.5090 alpha=90.00 beta=90.00 gamma=120.00
Space group P6/mmm (No. 191)
Inequivalent atoms, fractional coordinates:
Sr 0.0000 0.0000 0.1694 [2 per cell]
Zn 0.0000 0.5000 0.0000 [3 per cell]
Zn 0.0000 0.5000 0.3381 [6 per cell]
Ag 0.3333 0.6667 0.1698 [4 per cell]
Ag 0.3333 0.6667 0.5000 [2 per cell]

Calculated values
E ... -1.97 eV/atom
DOS at the Fermi energy ... 0.481 states/eV per atom

2.
A relaxed Sr4ZnAg crystal. Source: Alexandria via LeMat-Bulk, functional PBE.

Unit cell a=4.0018 b=4.0018 c=14.0889 alpha=90.00 beta=90.00 gamma=90.00
Space group P4/mmm (No. 123)
Inequivalent atoms, fractional coordinates:
Sr 0.0000 0.0000 0.1339 [2 per cell]
Sr 0.5000 0.5000 0.3654 [2 per cell]
Zn 0.5000 0.5000 0.0000 [1 per cell]
Ag 0.0000 0.0000 0.5000 [1 per cell]

Calculated values
E ... -1.97 eV/atom
Energy relative to the lowest polymorph listed for this composition ... 0 meV/atom
DOS at the Fermi energy ... 0.801 states/eV per atom

3.
A relaxed Sr2Zn12Ag5 crystal. Source: Alexandria via LeMat-Bulk, functional PBE.

Unit cell a=9.4643 b=9.4643 c=13.4965 alpha=90.00 beta=90.00 gamma=120.00
Space group R-3m (No. 166, hexagonal axes)
Inequivalent atoms, fractional coordinates:
Sr 0.0000 0.0000 0.1571 [6 per cell]
Zn 0.0000 0.2933 0.5000 [18 per cell]
Zn 0.0062 0.5031 0.6545 [18 per cell]
Ag 0.0000 0.0000 0.3963 [6 per cell]
Ag 0.0000 0.5000 0.0000 [9 per cell]

Calculated values
E ... -1.87 eV/atom
DOS at the Fermi energy ... 0.357 states/eV per atom

4.
A relaxed Sr2ZnAg crystal. Source: Alexandria via LeMat-Bulk, functional PBE.

Unit cell a=3.9346 b=3.8879 c=7.8750 alpha=90.00 beta=90.28 gamma=90.00
Space group P2/m (No. 10)
Inequivalent atoms, fractional coordinates:
Sr 0.0000 0.0000 0.2470 [2 per cell]
Zn 0.5000 0.5000 0.0000 [1 per cell]
Ag 0.5000 0.5000 0.5000 [1 per cell]

Calculated values
E ... -2.10 eV/atom
DOS at the Fermi energy ... 0.750 states/eV per atom

5.
A relaxed SrZnAg2 crystal. Source: Alexandria via LeMat-Bulk, functional PBE.

Unit cell a=3.5371 b=3.5371 c=7.2397 alpha=90.00 beta=90.00 gamma=90.00
Space group P4/mmm (No. 123)
Inequivalent atoms, fractional coordinates:
Sr 0.0000 0.0000 0.0000 [1 per cell]
Zn 0.0000 0.0000 0.5000 [1 per cell]
Ag 0.5000 0.5000 0.3057 [2 per cell]

Calculated values
E ... -2.25 eV/atom
DOS at the Fermi energy ... 0.284 states/eV per atom

6.
A relaxed SrZn3Ag5 crystal. Source: Alexandria via LeMat-Bulk, functional PBE.

Unit cell a=4.0670 b=13.7001 c=13.4886 alpha=90.00 beta=90.00 gamma=90.00
Space group Cmcm (No. 63)
Inequivalent atoms, fractional coordinates:
Sr 0.0000 0.1488 0.2500 [4 per cell]
Zn 0.0000 0.1405 0.7500 [4 per cell]
Zn 0.0000 0.3848 0.5522 [8 per cell]
Ag 0.0000 0.0000 0.0000 [4 per cell]
Ag 0.0000 0.1990 0.5635 [8 per cell]
Ag 0.0000 0.4421 0.1463 [8 per cell]

Calculated values
E ... -2.28 eV/atom
DOS at the Fermi energy ... 0.320 states/eV per atom

7.
A relaxed SrZnAg3 crystal. Source: Alexandria via LeMat-Bulk, functional PBE.

Unit cell a=6.7722 b=6.7722 c=5.7271 alpha=90.00 beta=90.00 gamma=120.00
Space group P6_3/mmc (No. 194)
Inequivalent atoms, fractional coordinates:
Sr 0.3333 0.6667 0.2500 [2 per cell]
Zn 0.0000 0.0000 0.0000 [2 per cell]
Ag 0.1928 0.3856 0.7500 [6 per cell]

Calculated values
E ... -2.46 eV/atom
Energy relative to the lowest polymorph listed for this composition ... 0 meV/atom
DOS at the Fermi energy ... 0.414 states/eV per atom

8.
A relaxed SrZn3Ag crystal. Source: Alexandria via LeMat-Bulk, functional PBE.

Unit cell a=6.3985 b=10.8031 c=6.2785 alpha=90.00 beta=90.00 gamma=90.00
Space group Cmcm (No. 63)
Inequivalent atoms, fractional coordinates:
Sr 0.0000 0.2373 0.2500 [4 per cell]
Zn 0.0000 0.3519 0.7500 [4 per cell]
Zn 0.2089 0.5000 0.0000 [8 per cell]
Ag 0.0000 0.1064 0.7500 [4 per cell]

Calculated values
E ... -1.88 eV/atom
Energy relative to the lowest polymorph listed for this composition ... 0 meV/atom
DOS at the Fermi energy ... 0.564 states/eV per atom

9.
A relaxed SrZnAg3 crystal. Source: Alexandria via LeMat-Bulk, functional PBE.

Unit cell a=9.3187 b=4.5920 c=10.6035 alpha=90.00 beta=90.00 gamma=90.00
Space group Pnma (No. 62)
Inequivalent atoms, fractional coordinates:
Sr 0.1882 0.2500 0.0015 [4 per cell]
Zn 0.1105 0.2500 0.6452 [4 per cell]
Ag 0.0607 0.2500 0.3998 [4 per cell]
Ag 0.1209 0.7500 0.2198 [4 per cell]
Ag 0.1564 0.7500 0.7851 [4 per cell]

Calculated values
E ... -2.45 eV/atom
Energy relative to the lowest polymorph listed for this composition ... 7 meV/atom
DOS at the Fermi energy ... 0.442 states/eV per atom

10.
A relaxed Sr2Zn5Ag5 crystal. Source: Alexandria via LeMat-Bulk, functional PBE.

Unit cell a=4.5017 b=5.5224 c=9.9906 alpha=90.00 beta=90.00 gamma=90.00
Space group Pmmm (No. 47)
Inequivalent atoms, fractional coordinates:
Sr 0.0000 0.0000 0.0000 [1 per cell]
Sr 0.0000 0.5000 0.5000 [1 per cell]
Zn 0.5000 0.0000 0.5000 [1 per cell]
Zn 0.5000 0.2501 0.2520 [4 per cell]
Ag 0.0000 0.0000 0.3313 [2 per cell]
Ag 0.0000 0.5000 0.1805 [2 per cell]
Ag 0.5000 0.5000 0.0000 [1 per cell]

Calculated values
E ... -2.22 eV/atom
DOS at the Fermi energy ... 0.434 states/eV per atom

11.
A relaxed SrZn3Ag crystal. Source: Alexandria via LeMat-Bulk, functional PBE.

Unit cell a=6.5817 b=6.5817 c=5.8192 alpha=90.00 beta=90.00 gamma=120.00
Space group P6_3/mmc (No. 194)
Inequivalent atoms, fractional coordinates:
Sr 0.3333 0.6667 0.2500 [2 per cell]
Zn 0.1992 0.3985 0.7500 [6 per cell]
Ag 0.0000 0.0000 0.0000 [2 per cell]

Calculated values
E ... -1.80 eV/atom
Energy relative to the lowest polymorph listed for this composition ... 88 meV/atom
DOS at the Fermi energy ... 0.607 states/eV per atom

12.
A relaxed SrZn2Ag9 crystal. Source: Alexandria via LeMat-Bulk, functional PBE.

Unit cell a=9.1975 b=9.1975 c=3.1147 alpha=90.00 beta=90.00 gamma=120.00
Space group P6/mmm (No. 191)
Inequivalent atoms, fractional coordinates:
Sr 0.0000 0.0000 0.0000 [1 per cell]
Zn 0.3333 0.6667 0.0000 [2 per cell]
Ag 0.0000 0.5000 0.0000 [3 per cell]
Ag 0.1864 0.3728 0.5000 [6 per cell]

Calculated values
E ... -2.50 eV/atom
Energy relative to the lowest polymorph listed for this composition ... 93 meV/atom
DOS at the Fermi energy ... 0.233 states/eV per atom